Record 1
# NdDy2Ga2Ag2 GGA-PBE relaxed
data_NdDy2Ga2Ag2
_chemical_formula_sum 'Nd3 Dy6 Ga6 Ag6'
_symmetry_space_group_name_H-M 'R -3 m'
_symmetry_Int_Tables_number 166
_symmetry_space_group_name_Hall '-R 3 2"'
_cell_length_a 4.6561
_cell_length_b 4.6561
_cell_length_c 26.9073
_cell_angle_alpha 90.00
_cell_angle_beta 90.00
_cell_angle_gamma 120.00
loop_
_atom_site_label
_atom_site_type_symbol
_atom_site_fract_x
_atom_site_fract_y
_atom_site_fract_z
_atom_site_occupancy
Nd1 Nd 0.0000 0.0000 0.0000 1
Dy1 Dy 0.0000 0.0000 0.1268 1
Ga1 Ga 0.0000 0.0000 0.2552 1
Ag1 Ag 0.0000 0.0000 0.4044 1
# - Raw total energy: -4.0533 eV per atom



Record 2
# DyGa3NiAg GGA-PBE relaxed
data_DyGa3NiAg
_chemical_formula_sum 'Dy4 Ga12 Ni4 Ag4'
_symmetry_space_group_name_H-M 'C m c m'
_symmetry_Int_Tables_number 63
_symmetry_space_group_name_Hall '-C 2c 2'
_cell_length_a 5.840
_cell_length_b 12.406
_cell_length_c 6.071
_cell_angle_alpha 90.00
_cell_angle_beta 90.00
_cell_angle_gamma 90.00
loop_
_atom_site_label
_atom_site_type_symbol
_atom_site_fract_x
_atom_site_fract_y
_atom_site_fract_z
_atom_site_occupancy
Dy1 Dy 0.000 0.215 0.250 1
Ga1 Ga 0.000 0.366 0.750 1
Ga2 Ga 0.218 0.000 0.000 1
Ni1 Ni 0.000 0.427 0.250 1
Ag1 Ag 0.000 0.157 0.750 1
# - Raw total energy: -3.9882 eV per atom



Record 3
# DyGaNiAg GGA-PBE relaxed
data_DyGaNiAg
_chemical_formula_sum 'Dy4 Ga4 Ni4 Ag4'
_symmetry_space_group_name_H-M 'F -4 3 m'
_symmetry_Int_Tables_number 216
_symmetry_space_group_name_Hall 'F -4 2 3'
_cell_length_a 6.598
_cell_length_b 6.598
_cell_length_c 6.598
_cell_angle_alpha 90.00
_cell_angle_beta 90.00
_cell_angle_gamma 90.00
loop_
_atom_site_label
_atom_site_type_symbol
_atom_site_fract_x
_atom_site_fract_y
_atom_site_fract_z
_atom_site_occupancy
Dy1 Dy 0.000 0.000 0.000 1
Ga1 Ga 0.000 0.000 0.500 1
Ni1 Ni 0.250 0.250 0.750 1
Ag1 Ag 0.250 0.250 0.250 1
# - Raw total energy: -4.3562 eV per atom